{"formula": "Na4ThSe4", "functional": "PBE-GGA", "state": "relaxed", "e_form_raw_mev_per_atom": -1339, "dos_ef_per_ev_fu": 0.000, "total_magnetization_mub_per_fu": 0.0, "sg": "No. 12", "de_polymorph_ev_per_atom": 0.000, "dft_energy_ev_per_atom": -4.30, "lattice_angstrom": [[0.474, -2.680, 3.397], [2.662, -6.497, -2.710], [9.028, 0.431, 1.869]], "species": ["Na", "Na", "Na", "Na", "Th", "Se", "Se", "Se", "Se"], "frac_coords": [[0.706, 0.412, 0.177], [0.860, 0.890, 0.389], [0.294, 0.588, 0.823], [0.140, 0.110, 0.611], [0.500, 0.000, 0.000], [0.287, 0.144, 0.283], [0.713, 0.856, 0.717], [0.923, 0.268, 0.885], [0.077, 0.732, 0.115]]}

=====

{"formula": "NaThSe2", "functional": "PBE-GGA", "state": "relaxed", "e_form_raw_mev_per_atom": -1423, "dos_ef_per_ev_fu": 1.680, "total_magnetization_mub_per_fu": 0.0, "sg": "No. 123", "dft_energy_ev_per_atom": -5.35, "lattice_angstrom": [[-2.013, -1.456, -2.671], [-1.591, -2.226, 2.412], [-5.351, 5.151, 1.225]], "species": ["Na", "Se", "Se", "Th"], "frac_coords": [[0.500, 0.500, 0.500], [0.000, 0.000, 0.771], [0.000, 0.000, 0.229], [0.500, 0.500, 0.000]]}

=====

{"formula": "NaThSe3", "functional": "PBE-GGA", "state": "relaxed", "e_form_raw_mev_per_atom": -1349, "total_magnetization_mub_per_fu": 0.0, "sg": "No. 65", "dft_energy_ev_per_atom": -5.19, "lattice_angstrom": [[-0.777, 4.357, 3.807], [4.373, -7.124, 4.572], [5.168, 2.219, -1.486]], "species": ["Na", "Na", "Th", "Th", "Se", "Se", "Se", "Se", "Se", "Se"], "frac_coords": [[0.664, 0.328, 0.500], [0.336, 0.672, 0.500], [0.849, 0.698, 0.000], [0.151, 0.302, 0.000], [0.827, 0.655, 0.500], [0.322, 0.643, 0.000], [0.000, 0.000, 0.794], [0.173, 0.345, 0.500], [0.000, 0.000, 0.206], [0.678, 0.357, 0.000]]}

=====

{"formula": "Na3Th2TlSe6", "functional": "PBE-GGA", "state": "relaxed", "e_form_raw_mev_per_atom": -1375, "total_magnetization_mub_per_fu": 0.0, "sg": "No. 12", "dft_energy_ev_per_atom": -4.88, "lattice_angstrom": [[4.344, 0.000, 0.000], [0.000, 8.860, 0.585], [-2.172, -2.288, 8.987]], "species": ["Na", "Na", "Na", "Th", "Th", "Tl", "Se", "Se", "Se", "Se", "Se", "Se"], "frac_coords": [[0.500, 0.500, 0.000], [0.846, 0.165, 0.691], [0.154, 0.835, 0.309], [0.838, 0.669, 0.675], [0.162, 0.331, 0.325], [0.500, 0.000, 0.000], [0.322, 0.882, 0.643], [0.672, 0.567, 0.345], [0.678, 0.118, 0.357], [0.011, 0.274, 0.021], [0.989, 0.726, 0.979], [0.328, 0.433, 0.655]]}

=====

{"formula": "Na3Tm3ThSe8", "functional": "PBE-GGA", "state": "relaxed", "e_form_raw_mev_per_atom": -1689, "dos_ef_per_ev_fu": 0.000, "total_magnetization_mub_per_fu": 0.0, "sg": "No. 166", "dft_energy_ev_per_atom": -5.20, "lattice_angstrom": [[8.261, 0.000, 0.000], [-4.131, 7.155, -0.027], [0.000, -4.746, 7.057]], "species": ["Na", "Na", "Na", "Tm", "Tm", "Tm", "Th", "Se", "Se", "Se", "Se", "Se", "Se", "Se", "Se"], "frac_coords": [[0.000, 0.000, 0.000], [0.000, 0.500, 0.000], [0.500, 0.500, 0.000], [0.500, 0.000, 0.500], [0.500, 0.500, 0.500], [0.000, 0.500, 0.500], [0.000, 0.000, 0.500], [0.258, 0.516, 0.275], [0.742, 0.484, 0.725], [0.754, 0.508, 0.273], [0.246, 0.492, 0.727], [0.754, 0.019, 0.273], [0.246, 0.981, 0.727], [0.265, 0.019, 0.273], [0.735, 0.981, 0.727]]}

=====

{"formula": "Na2TmThSe4", "functional": "PBE-GGA", "state": "relaxed", "e_form_raw_mev_per_atom": -1572, "dos_ef_per_ev_fu": 3.831, "total_magnetization_mub_per_fu": 0.0, "sg": "No. 10", "dft_energy_ev_per_atom": -5.13, "lattice_angstrom": [[4.108, 0.000, 0.000], [0.000, 7.191, 0.150], [0.000, -2.491, 7.057]], "species": ["Na", "Na", "Tm", "Th", "Se", "Se", "Se", "Se"], "frac_coords": [[0.500, 0.000, 0.500], [0.000, 0.500, 0.500], [0.500, 0.500, 0.000], [0.000, 0.000, 0.000], [0.500, 0.257, 0.240], [0.500, 0.743, 0.760], [0.000, 0.264, 0.769], [0.000, 0.736, 0.231]]}

=====

{"formula": "Na4Tm3ThSe8", "functional": "PBE-GGA", "state": "relaxed", "e_form_raw_mev_per_atom": -1632, "dos_ef_per_ev_fu": 4.397, "total_magnetization_mub_per_fu": 0.0, "sg": "No. 166", "dft_energy_ev_per_atom": -5.01, "lattice_angstrom": [[8.231, 0.000, 0.000], [0.000, 8.495, 0.176], [-4.116, -4.112, 5.823]], "species": ["Na", "Na", "Na", "Na", "Tm", "Tm", "Tm", "Th", "Se", "Se", "Se", "Se", "Se", "Se", "Se", "Se"], "frac_coords": [[0.500, 0.000, 0.000], [0.500, 0.000, 0.500], [0.000, 0.000, 0.000], [0.000, 0.000, 0.500], [0.500, 0.500, 0.000], [0.500, 0.500, 0.500], [0.000, 0.500, 0.500], [0.000, 0.500, 0.000], [0.248, 0.733, 0.985], [0.248, 0.733, 0.496], [0.258, 0.274, 0.516], [0.737, 0.733, 0.985], [0.263, 0.267, 0.015], [0.742, 0.726, 0.484], [0.752, 0.267, 0.504], [0.752, 0.267, 0.015]]}

=====

{"formula": "Na4TmTh3Se8", "functional": "PBE-GGA", "state": "relaxed", "e_form_raw_mev_per_atom": -1522, "dos_ef_per_ev_fu": 9.151, "total_magnetization_mub_per_fu": 0.0, "sg": "No. 166", "dft_energy_ev_per_atom": -5.26, "lattice_angstrom": [[8.284, 0.000, 0.000], [0.000, 8.630, 0.234], [-4.142, -4.137, 5.860]], "species": ["Na", "Na", "Na", "Na", "Tm", "Th", "Th", "Th", "Se", "Se", "Se", "Se", "Se", "Se", "Se", "Se"], "frac_coords": [[0.500, 0.000, 0.000], [0.500, 0.000, 0.500], [0.000, 0.000, 0.000], [0.000, 0.000, 0.500], [0.000, 0.500, 0.000], [0.500, 0.500, 0.000], [0.500, 0.500, 0.500], [0.000, 0.500, 0.500], [0.241, 0.737, 0.997], [0.241, 0.737, 0.482], [0.250, 0.252, 0.501], [0.756, 0.737, 0.997], [0.244, 0.263, 0.003], [0.750, 0.748, 0.499], [0.759, 0.263, 0.518], [0.759, 0.263, 0.003]]}

=====

{"formula": "Na3Tm2ThSe6", "functional": "PBE-GGA", "state": "relaxed", "e_form_raw_mev_per_atom": -1612, "dos_ef_per_ev_fu": 4.186, "total_magnetization_mub_per_fu": 0.0, "sg": "No. 12", "dft_energy_ev_per_atom": -5.05, "lattice_angstrom": [[7.138, -0.002, -0.001], [-3.569, 6.181, -0.001], [-1.191, -2.062, 7.062]], "species": ["Na", "Na", "Na", "Tm", "Tm", "Th", "Se", "Se", "Se", "Se", "Se", "Se"], "frac_coords": [[0.166, 0.834, 0.500], [0.834, 0.166, 0.500], [0.500, 0.500, 0.500], [0.333, 0.667, 0.000], [0.667, 0.333, 0.000], [0.000, 0.000, 0.000], [0.922, 0.581, 0.768], [0.737, 0.737, 0.233], [0.078, 0.419, 0.232], [0.581, 0.922, 0.768], [0.263, 0.263, 0.767], [0.419, 0.078, 0.232]]}

=====

{"formula": "NaTm2ThSe4", "functional": "PBE-GGA", "state": "relaxed", "e_form_raw_mev_per_atom": -1611, "dos_ef_per_ev_fu": 4.632, "total_magnetization_mub_per_fu": 0.0, "sg": "No. 10", "dft_energy_ev_per_atom": -5.56, "lattice_angstrom": [[4.035, 0.000, 0.000], [0.000, 7.116, -0.213], [0.000, 2.467, 6.754]], "species": ["Na", "Tm", "Tm", "Th", "Se", "Se", "Se", "Se"], "frac_coords": [[0.000, 0.500, 0.500], [0.000, 0.000, 0.000], [0.500, 0.000, 0.500], [0.500, 0.500, 0.000], [0.000, 0.763, 0.738], [0.000, 0.237, 0.262], [0.500, 0.763, 0.247], [0.500, 0.237, 0.753]]}

=====

{"formula": "Na4Th3USe8", "functional": "PBE-GGA", "state": "relaxed", "e_form_raw_mev_per_atom": -1403, "dos_ef_per_ev_fu": 12.030, "total_magnetization_mub_per_fu": 3.7, "sg": "No. 166", "dft_energy_ev_per_atom": -5.57, "lattice_angstrom": [[-2.244, 1.676, -7.823], [5.239, -6.284, -2.849], [-5.778, -1.886, 5.667]], "species": ["Na", "Na", "Na", "Na", "Th", "Th", "Th", "U", "Se", "Se", "Se", "Se", "Se", "Se", "Se", "Se"], "frac_coords": [[0.500, 0.000, 0.000], [0.500, 0.000, 0.500], [0.000, 0.000, 0.000], [0.000, 0.000, 0.500], [0.500, 0.500, 0.000], [0.500, 0.500, 0.500], [0.000, 0.500, 0.500], [0.000, 0.500, 0.000], [0.246, 0.741, 0.996], [0.246, 0.741, 0.492], [0.252, 0.255, 0.503], [0.750, 0.741, 0.996], [0.250, 0.259, 0.004], [0.748, 0.745, 0.497], [0.754, 0.259, 0.508], [0.754, 0.259, 0.004]]}

=====

{"formula": "Na4YTh3Se8", "functional": "PBE-GGA", "state": "relaxed", "e_form_raw_mev_per_atom": -1531, "dos_ef_per_ev_fu": 9.363, "total_magnetization_mub_per_fu": 0.0, "sg": "No. 166", "dft_energy_ev_per_atom": -5.40, "lattice_angstrom": [[-6.789, -2.553, 4.045], [-3.379, -2.810, -7.444], [7.486, -2.777, 2.286]], "species": ["Na", "Na", "Na", "Na", "Y", "Th", "Th", "Th", "Se", "Se", "Se", "Se", "Se", "Se", "Se", "Se"], "frac_coords": [[0.500, 0.000, 0.000], [0.500, 0.000, 0.500], [0.000, 0.000, 0.000], [0.000, 0.000, 0.500], [0.000, 0.500, 0.000], [0.500, 0.500, 0.000], [0.500, 0.500, 0.500], [0.000, 0.500, 0.500], [0.244, 0.739, 0.996], [0.244, 0.739, 0.488], [0.251, 0.253, 0.502], [0.752, 0.739, 0.996], [0.248, 0.261, 0.004], [0.749, 0.747, 0.498], [0.756, 0.261, 0.512], [0.756, 0.261, 0.004]]}